Record 1
{"formula": "KY2Cr", "functional": "PBE", "state": "optimized geometry", "cell": [[3.815, 0.000, 0.000], [0.000, 5.792, 0.000], [0.000, 0.000, 5.761]], "species": ["Cr", "K", "Y", "Y"], "frac_coords": [[0.500, 0.000, 0.500], [0.000, 0.500, 0.500], [0.000, 0.000, 0.000], [0.500, 0.500, 0.000]], "formation_enthalpy_0k_kj_per_mol_fu": 307.1, "magnetic_moment_mub_per_fu": 4.7, "vol_a3_per_atom": 31.8, "de_polymorph_ev_per_atom": 0.433}

=====

Record 2
{"formula": "Cs2BiTe", "functional": "PBE", "state": "optimized geometry", "cell": [[3.344, -0.656, 0.436], [-2.450, 5.534, 0.212], [1.758, -1.763, 10.967]], "species": ["Cs", "Cs", "Bi", "Te"], "frac_coords": [[0.811, 0.425, 0.326], [0.358, 0.424, 0.778], [0.084, 0.925, 0.052], [0.584, 0.925, 0.552]], "e_form_raw_kj_per_mol_atoms": -40.3, "magnetic_moment_mub_per_fu": 0.0, "vol_a3_per_atom": 46.0, "de_polymorph_ev_per_atom": 0.000}